[1]
Below is a relaxed K2SeBr2F4 crystal, with properties calculated at the PBE level.

Cell: 6.573 6.573 6.573 Å, 94.43 117.48 117.48°
Positions (direct):
K: 0.500 0.750 0.250
K: 0.500 0.250 0.750
Se: 0.000 0.000 0.000
Br: 0.000 0.707 0.707
Br: 0.000 0.293 0.293
F: 0.000 0.797 0.203
F: 0.595 0.797 0.797
F: 0.000 0.203 0.797
F: 0.405 0.203 0.203

Symmetry: I4/mmm
Formation energy (no corrections) (kJ/mol of formula units): -1535

---

[2]
Below is a relaxed K2SiBrF crystal, with properties calculated at the PBE level.

Cell: 5.864 4.253 5.864 Å, 90.00 90.00 90.00°
Each line ends with the local moment (μB).
Positions (direct):
K: 0.000 0.000 0.500  0.02
K: 0.500 0.000 0.000  0.02
Si: 0.000 0.500 0.000  0.48
Br: 0.500 0.500 0.500  0.07
F: 0.000 0.000 0.000  0.06

Relative energy among the computed polymorphs (eV/atom): 0.000
Symmetry: P4/mmm
Formation energy (no corrections) (kJ/mol of formula units): -512

---

[3]
Below is a relaxed KSnBrF2 crystal, with properties calculated at the PBE level.

Cell: 4.362 7.213 8.279 Å, 101.44 90.00 90.00°
Positions (direct):
K: 0.250 0.699 0.923
K: 0.750 0.301 0.077
Sn: 0.250 0.690 0.409
Sn: 0.750 0.310 0.591
Br: 0.250 0.095 0.782
Br: 0.750 0.905 0.218
F: 0.750 0.545 0.424
F: 0.250 0.455 0.576
F: 0.750 0.503 0.819
F: 0.250 0.497 0.181

Relative energy among the computed polymorphs (eV/atom): 0.000
Symmetry: P2_1/m
Formation energy (no corrections) (kJ/mol of formula units): -1009

---

no.,size of the total moment (μB/atom)
1,0.000
2,0.400
3,0.000